No. 1
Here is a relaxed InGaO3 crystal from the Alexandria database. Energies are from PBE-GGA.

The structure belongs to space group R-3 (No. 148, hexagonal axes); the cell edges are 5.3022, 5.3022 and 14.2987 Å and the angles 90.00°, 90.00° and 120.00°. The distinct sites, in fractional coordinates, are In at (0.0000, 0.0000, 0.1380), Ga at (0.0000, 0.0000, 0.3509) and O at (0.0229, 0.6431, 0.9216).

As for the total energy: -173.84 eV for the cell shown. The total magnetic moment is 0.00 μB/f.u. The formation energy from raw total energies is -1.6667 eV/atom. The crystal system is trigonal.



No. 2
Here is a relaxed Ba2SrGd crystal from the Alexandria database. Energies are from PBE-GGA.

The structure belongs to space group P4/mmm (No. 123); the cell edges are 6.663, 6.663 and 4.599 Å and the angles 90.00°, 90.00° and 90.00°. The distinct sites, in fractional coordinates, are Ba at (0.000, 0.500, 0.000), Sr at (0.000, 0.000, 0.500) and Gd at (0.500, 0.500, 0.500).

As for the total energy: -18.86 eV for the cell shown. The total magnetic moment is 7.42 μB/f.u. The value obtained for the excess energy over the best structure of this formula in the dataset is 53 meV per atom. The crystal system is tetragonal. Its formation energy is 0.1874 eV/atom. The value obtained for the density of states at the Fermi level is 7.80 states/eV/cell.



No. 3
Here is a relaxed La5Os3 crystal from the Alexandria database. Energies are from PBE-GGA.

The structure belongs to space group Cmmm (No. 65); the cell edges are 7.819, 11.839 and 4.522 Å and the angles 90.00°, 90.00° and 90.00°. The distinct sites, in fractional coordinates, are La at (0.000, 0.000, 0.000), La at (0.210, 0.500, 0.500), La at (0.250, 0.250, 0.000), Os at (0.000, 0.183, 0.500) and Os at (0.000, 0.500, 0.000).

As for the total energy: -114.70 eV for the cell shown. The total magnetic moment is 0.00 μB/f.u. The value obtained for the excess energy over the best structure of this formula in the dataset is 212 meV per atom. The crystal system is orthorhombic. Its formation energy is 0.1221 eV/atom. The value obtained for the density of states at the Fermi level is 12.71 states/eV/cell.